[1]
Entry from the Alexandria database: a relaxed Tm2GaPb crystal (GGA-PBE).

The structure belongs to space group P4/mmm (No. 123); the cell edges are 3.411, 3.411 and 8.510 Å and the angles 90.00°, 90.00° and 90.00°. The asymmetric unit holds Tm at (0.000, 0.000, 0.222), Ga at (0.500, 0.500, 0.000) and Pb at (0.500, 0.500, 0.500).

The calculation puts the energy of formation at -0.4557 eV per atom. The calculation puts the total energy at -0.16079 Ha/atom. For the magnetization, the calculation gives 0.000 Bohr magnetons per cell.

***

[2]
Entry from the Alexandria database: a relaxed Sc2TcF2 crystal (GGA-PBE).

The structure belongs to space group P4/mbm (No. 127); the cell edges are 7.664, 7.664 and 3.026 Å and the angles 90.00°, 90.00° and 90.00°. The asymmetric unit holds Sc at (0.228, 0.272, 0.000), Tc at (0.000, 0.000, 0.000) and F at (0.107, 0.393, 0.500).

The calculation puts the total energy at -0.24673 Ha/atom. For the magnetization, the calculation gives 0.000 Bohr magnetons per cell. Its formation energy from raw total energies is -1359 meV per atom.

***

[3]
Entry from the Alexandria database: a relaxed Ho3Er6PuSc2 crystal (GGA-PBE).

The structure belongs to space group C2/m (No. 12); the cell edges are 5.991, 10.372 and 11.432 Å and the angles 90.00°, 100.07° and 90.00°. The asymmetric unit holds Ho at (0.000, 0.000, 0.000), Ho at (0.000, 0.332, 0.000), Er at (0.247, 0.334, 0.744), Er at (0.249, 0.000, 0.743), Pu at (0.000, 0.500, 0.500) and Sc at (0.000, 0.167, 0.500).

The calculation puts the energy of formation at 0.0572 eV per atom. The calculation puts the total energy at -0.20647 Ha/atom. For the magnetization, the calculation gives 13.349 Bohr magnetons per cell.

***

[4]
Entry from the Alexandria database: a relaxed Ta3Cu crystal (GGA-PBE).

The structure belongs to space group R-3m (No. 166, hexagonal axes); the cell edges are 2.8703, 2.8703 and 29.1223 Å and the angles 90.00°, 90.00° and 120.00°. The asymmetric unit holds Ta at (0.0000, 0.0000, 0.0000), Ta at (0.0000, 0.0000, 0.2446) and Cu at (0.0000, 0.0000, 0.5000).

The calculation puts the energy of formation at 0.2675 eV per atom. The calculation puts the total energy at -0.35448 Ha/atom. For the magnetization, the calculation gives 0.000 Bohr magnetons per cell.